Record 1
# TbSm2Ir, relaxed, DFT PBE
data_TbSm2Ir
_chemical_formula_sum 'Tb4 Sm8 Ir4'
_symmetry_space_group_name_H-M 'P n m a'
_symmetry_Int_Tables_number 62
_cell_length_a 7.290
_cell_length_b 9.671
_cell_length_c 6.418
_cell_angle_alpha 90.00
_cell_angle_beta 90.00
_cell_angle_gamma 90.00
loop_
_symmetry_equiv_pos_as_xyz
'x,y,z'
'-x,-y,-z'
'-x+1/2,-y,z+1/2'
'x+1/2,y,-z+1/2'
'x+1/2,-y+1/2,-z+1/2'
'-x+1/2,y+1/2,z+1/2'
'-x,y+1/2,-z'
'x,-y+1/2,z'
loop_
_atom_site_label
_atom_site_type_symbol
_atom_site_fract_x
_atom_site_fract_y
_atom_site_fract_z
Tb1 Tb 0.036 0.250 0.142
Sm1 Sm 0.178 0.065 0.673
Ir1 Ir 0.119 0.750 0.450
# Final energy   -6.244 eV per atom
# N(E_F)   1.128 states/eV/atom
# Density   9.57 g/cm3
# ΔE_f   -197 kJ/mol of formula units



Record 2
# Tb2SmIr2, relaxed, DFT PBE
data_Tb2SmIr2
_chemical_formula_sum 'Tb8 Sm4 Ir8'
_symmetry_space_group_name_H-M 'C m c 21'
_symmetry_Int_Tables_number 36
_cell_length_a 3.980
_cell_length_b 16.908
_cell_length_c 7.426
_cell_angle_alpha 90.00
_cell_angle_beta 90.00
_cell_angle_gamma 90.00
loop_
_symmetry_equiv_pos_as_xyz
'x,y,z'
'-x,-y,z+1/2'
'-x,y,z'
'x,-y,z+1/2'
'x+1/2,y+1/2,z'
'-x+1/2,-y+1/2,z+1/2'
'-x+1/2,y+1/2,z'
'x+1/2,-y+1/2,z+1/2'
loop_
_atom_site_label
_atom_site_type_symbol
_atom_site_fract_x
_atom_site_fract_y
_atom_site_fract_z
Tb1 Tb 0.000 0.032 0.000
Tb2 Tb 0.000 0.187 0.721
Sm1 Sm 0.000 0.377 0.832
Ir1 Ir 0.000 0.197 0.116
Ir2 Ir 0.000 0.449 0.201
# Final energy   -6.931 eV per atom
# N(E_F)   0.537 states/eV/atom
# Density   11.33 g/cm3
# ΔE_f   -285 kJ/mol of formula units



Record 3
# TbSmIr4, relaxed, DFT PBE
data_TbSmIr4
_chemical_formula_sum 'Tb4 Sm4 Ir16'
_symmetry_space_group_name_H-M 'F -4 3 m'
_symmetry_Int_Tables_number 216
_symmetry_space_group_name_Hall 'F -4 2 3'
_cell_length_a 7.623
_cell_length_b 7.623
_cell_length_c 7.623
_cell_angle_alpha 90.00
_cell_angle_beta 90.00
_cell_angle_gamma 90.00
loop_
_atom_site_label
_atom_site_type_symbol
_atom_site_fract_x
_atom_site_fract_y
_atom_site_fract_z
Tb1 Tb 0.000 0.000 0.000
Sm1 Sm 0.250 0.250 0.250
Ir1 Ir 0.125 0.125 0.625
# Final energy   -8.237 eV per atom
# N(E_F)   0.792 states/eV/atom
# Density   16.16 g/cm3
# ΔE_f   -446 kJ/mol of formula units